1.
First-principles (SCAN) data for a crystal of MgAlW2 relaxed with PBEsol, as listed in Alexandria via LeMat-Bulk.

Geometry as extended XYZ:
```
8
Lattice="5.385 0.000 0.000 0.000 8.730 0.000 0.000 0.000 2.693" Properties=species:S:1:pos:R:3 pbc="T T T"
Mg 0.000 0.000 0.000
Mg 2.692 4.365 0.000
Al 0.000 4.365 0.000
Al 2.692 0.000 0.000
W 1.346 2.183 1.346
W 1.346 6.548 1.346
W 4.039 2.183 1.346
W 4.039 6.548 1.346
```

Energy relative to the elements, eV per atom: 0.269
E above lowest polymorph, meV per atom: 102
Magnetization, μB/f.u.: 0.0
Space group: Cmmm, No. 65
N(E_F), states/eV per cell: 4.15
Mass density, g cm⁻³: 10.991



2.
First-principles (SCAN) data for a crystal of RbNaCaThSi8O20 relaxed with PBEsol, as listed in Alexandria via LeMat-Bulk.

Geometry as extended XYZ:
```
64
Lattice="7.605 0.000 0.000 0.000 7.605 0.000 0.000 0.000 14.737" Properties=species:S:1:pos:R:3 pbc="T T T"
Rb 0.000 0.000 0.000
Rb 0.000 0.000 7.368
Na 0.000 3.802 3.684
Na 3.802 0.000 11.053
Ca 0.000 3.802 11.053
Ca 3.802 0.000 3.684
Th 0.000 0.000 3.684
Th 0.000 0.000 11.053
Si 1.961 2.542 5.763
Si 1.961 5.063 1.605
Si 2.009 2.571 8.998
Si 2.009 5.034 13.107
Si 2.542 1.961 13.132
Si 2.542 5.644 8.974
Si 2.571 2.009 1.630
Si 2.571 5.595 5.739
Si 5.034 2.009 5.739
Si 5.034 5.595 1.630
Si 5.063 1.961 8.974
Si 5.063 5.644 13.132
Si 5.595 2.571 13.107
Si 5.595 5.034 8.998
Si 5.644 2.542 1.605
Si 5.644 5.063 5.763
O 0.754 1.809 5.032
O 0.754 5.796 2.337
O 0.803 1.929 9.826
O 0.803 5.676 12.279
O 1.809 0.754 12.400
O 1.809 6.850 9.705
O 1.828 2.408 7.388
O 1.828 5.196 14.718
O 1.926 3.431 12.699
O 1.926 4.174 9.406
O 1.929 0.803 2.458
O 1.929 6.802 4.910
O 1.968 3.475 2.028
O 1.968 4.130 5.340
O 2.408 1.828 0.019
O 2.408 5.777 7.349
O 3.431 1.926 5.331
O 3.431 5.678 2.038
O 3.475 1.968 9.397
O 3.475 5.637 12.709
O 4.130 1.968 12.709
O 4.130 5.637 9.397
O 4.174 1.926 2.038
O 4.174 5.678 5.331
O 5.196 1.828 7.349
O 5.196 5.777 0.019
O 5.637 3.475 5.340
O 5.637 4.130 2.028
O 5.676 0.803 4.910
O 5.676 6.802 2.458
O 5.678 3.431 9.406
O 5.678 4.174 12.699
O 5.777 2.408 14.718
O 5.777 5.196 7.388
O 5.796 0.754 9.705
O 5.796 6.850 12.400
O 6.802 1.929 12.279
O 6.802 5.676 9.826
O 6.850 1.809 2.337
O 6.850 5.796 5.032
```

Energy relative to the elements, uncorrected, eV per atom: -3.138
Magnetization, μB/f.u.: 0.0
Space group: P-42c, No. 112
N(E_F), states/eV per cell: 0.00
Mass density, g cm⁻³: 3.605



3.
First-principles (SCAN) data for a crystal of CsTlSe3 relaxed with PBEsol, as listed in Alexandria via LeMat-Bulk.

Geometry as extended XYZ:
```
5
Lattice="5.757 0.000 0.000 0.000 5.757 0.000 0.000 0.000 5.757" Properties=species:S:1:pos:R:3 pbc="T T T"
Cs 0.000 0.000 0.000
Tl 2.878 2.878 2.878
Se 0.000 0.000 2.878
Se 0.000 2.878 0.000
Se 2.878 0.000 0.000
```

Energy relative to the elements, uncorrected, eV per atom: 0.704
Magnetization, μB/f.u.: 1.0
Space group: Pm-3m, No. 221
N(E_F), states/eV per cell: 6.15
Mass density, g cm⁻³: 4.998